A plane-wave DFT calculation with PBE was carried out for a geometry-optimized Cd2FeOs structure.

Geometry as POSCAR:
```
Cd2FeOs
1.0
2.7840 0.0000 0.0000
0.0000 2.7840 0.0000
0.0000 0.0000 8.5761
Cd Fe Os
2 1 1
Direct
0.0000 0.0000 0.2447
0.0000 0.0000 0.7553
0.5000 0.5000 0.0000
0.5000 0.5000 0.5000
```

Properties
- V: 16.62 A^3/atom
- Raw total energy: -4.771 eV per atom
- Total moment: 3.20 μB per cell
- DOS at the Fermi energy: 3.88 states/eV per cell
- ρ: 11.8 g cm⁻³
- Crystal system: tetragonal


A plane-wave DFT calculation with PBE was carried out for a geometry-optimized AsPbO3 structure.

Geometry as POSCAR:
```
AsPbO3
1.0
3.9636 0.0000 0.0000
0.0000 3.9636 0.0000
0.0000 0.0000 3.9636
As Pb O
1 1 3
Direct
0.0000 0.0000 0.0000
0.5000 0.5000 0.5000
0.0000 0.0000 0.5000
0.0000 0.5000 0.0000
0.5000 0.0000 0.0000
```

Properties
- Formation energy without anion corrections: -0.9899 eV/atom
- V: 12.45 A^3/atom
- Raw total energy: -5.636 eV per atom
- Total moment: 0.00 μB per cell
- DOS at the Fermi energy: 0.79 states/eV per cell
- ρ: 8.8 g cm⁻³
- Crystal system: cubic


A plane-wave DFT calculation with PBE was carried out for a geometry-optimized CaTl3Hg6 structure.

Geometry as POSCAR:
```
CaTl3Hg6
1.0
4.8308 -6.6617 0.0000
4.8308 6.6617 0.0000
0.0000 0.0000 8.9641
Ca Tl Hg
2 6 12
Direct
0.1703 0.8297 0.5000
0.8297 0.1703 0.0000
0.0897 0.2762 0.6467
0.2762 0.0897 0.1467
0.4274 0.5726 0.3604
0.5726 0.4274 0.8604
0.7238 0.9103 0.6467
0.9103 0.7238 0.1467
0.0231 0.4379 0.3290
0.0525 0.9475 0.8478
0.2233 0.4377 0.0332
0.3558 0.6442 0.7127
0.4379 0.0231 0.8290
0.4377 0.2233 0.5332
0.5623 0.7767 0.0332
0.5621 0.9769 0.3290
0.6442 0.3558 0.2127
0.7767 0.5623 0.5332
0.9475 0.0525 0.3478
0.9769 0.5621 0.8290
```

Properties
- V: 28.85 A^3/atom
- Raw total energy: -1.192 eV per atom
- Total moment: 0.00 μB per cell
- DOS at the Fermi energy: 8.25 states/eV per cell
- ρ: 10.7 g cm⁻³
- Crystal system: orthorhombic


A plane-wave DFT calculation with PBE was carried out for a geometry-optimized PrNd5Te8 structure.

Geometry as POSCAR:
```
PrNd5Te8
1.0
-4.8222 4.8222 4.7129
4.8222 -4.8222 4.7129
4.8222 4.8222 -4.7129
Pr Nd Te
1 5 8
Direct
0.0000 0.0000 0.0000
0.1246 0.2328 0.6073
0.2500 0.7500 0.5000
0.4827 0.8754 0.1082
0.6255 0.5173 0.3927
0.7672 0.3745 0.8918
0.0203 0.6204 0.7455
0.2309 0.4768 0.1026
0.3742 0.1282 0.8974
0.3796 0.1250 0.3999
0.5232 0.6258 0.7540
0.7252 0.9797 0.6001
0.8718 0.7691 0.2460
0.8750 0.2748 0.2545
```

Properties
- Formation energy without anion corrections: -1.4319 eV/atom
- V: 31.31 A^3/atom
- Raw total energy: -5.271 eV per atom
- Total moment: 0.00 μB per cell
- DOS at the Fermi energy: 8.32 states/eV per cell
- ρ: 7.1 g cm⁻³
- Crystal system: tetragonal